(1)
## BaCaTmIn (PBE)

Data for BaCaTmIn after structural relaxation.

The structure belongs to space group F-43m (No. 216); the cell edges are 8.223, 8.223 and 8.223 Å and the angles 90.00°, 90.00° and 90.00°. The asymmetric unit holds Ba at (0.000, 0.000, 0.000), Ca at (0.250, 0.250, 0.750), Tm at (0.000, 0.000, 0.500) and In at (0.250, 0.250, 0.250).

The calculation puts the formation energy at -0.0474 eV/atom. For the energy, the calculation gives -2.8310 eV per atom. The total magnetization is 0.00 μB per formula unit.

***

(2)
## Ti2ZnO (PBE)

Data for Ti2ZnO after structural relaxation.

The structure belongs to space group R3m (No. 160, hexagonal axes); the cell edges are 2.9937, 2.9937 and 20.4018 Å and the angles 90.00°, 90.00° and 120.00°. The asymmetric unit holds Ti at (0.0000, 0.0000, 0.0000), Ti at (0.0000, 0.0000, 0.2158), Zn at (0.0000, 0.0000, 0.4407) and O at (0.0000, 0.0000, 0.6084).

For the energy, the calculation gives -6.7944 eV per atom. The total magnetization is 0.00 μB per formula unit. For the uncorrected formation energy, the calculation gives -1.29 eV/atom.

***

(3)
## Nd2SmI6 (PBE)

Data for Nd2SmI6 after structural relaxation.

The structure belongs to space group P4_2/mnm (No. 136); the cell edges are 7.980, 7.980 and 12.107 Å and the angles 90.00°, 90.00° and 90.00°. The asymmetric unit holds Nd at (0.000, 0.000, 0.163), Sm at (0.000, 0.000, 0.500), I at (0.214, 0.214, 0.334) and I at (0.220, 0.220, 0.000).

For the energy, the calculation gives -3.7919 eV per atom. The total magnetization is 0.30 μB per formula unit. For the uncorrected formation energy, the calculation gives -1.17 eV/atom.

***

(4)
## CdNi12B5 (PBE)

Data for CdNi12B5 after structural relaxation.

The structure belongs to space group Immm (No. 71); the cell edges are 6.785, 6.826 and 7.657 Å and the angles 90.00°, 90.00° and 90.00°. The asymmetric unit holds Cd at (0.000, 0.000, 0.000), Ni at (0.000, 0.187, 0.287), Ni at (0.183, 0.500, 0.316), Ni at (0.219, 0.322, 0.000), B at (0.000, 0.000, 0.500), B at (0.000, 0.359, 0.500) and B at (0.000, 0.500, 0.115).

The calculation puts the formation energy at -0.1669 eV/atom. For the energy, the calculation gives -5.9268 eV per atom. The total magnetization is 0.00 μB per formula unit.

***

(5)
## Tm2ThUAs4 (PBE)

Data for Tm2ThUAs4 after structural relaxation.

The structure belongs to space group P2/m (No. 10); the cell edges are 7.129, 4.118 and 7.151 Å and the angles 90.00°, 109.42° and 90.00°. The asymmetric unit holds Tm at (0.000, 0.000, 0.000), Tm at (0.500, 0.500, 0.000), Th at (0.000, 0.500, 0.500), U at (0.500, 0.000, 0.500), As at (0.253, 0.500, 0.244) and As at (0.259, 0.000, 0.759).

The calculation puts the formation energy at -1.2708 eV/atom. For the energy, the calculation gives -7.0519 eV per atom. The total magnetization is 2.71 μB per formula unit.

***

(6)
## AcCd3 (PBE)

Data for AcCd3 after structural relaxation.

The structure belongs to space group P6_3/mmc (No. 194); the cell edges are 7.2038, 7.2038 and 5.0740 Å and the angles 90.00°, 90.00° and 120.00°. The asymmetric unit holds Ac at (0.3333, 0.6667, 0.2500) and Cd at (0.1490, 0.2980, 0.7500).

The calculation puts the formation energy at -0.2710 eV/atom. For the energy, the calculation gives -1.9845 eV per atom. The total magnetization is 0.00 μB per formula unit.

***

(7)
## Li2CuB2Rh5 (PBE)

Data for Li2CuB2Rh5 after structural relaxation.

The structure belongs to space group P4/mbm (No. 127); the cell edges are 9.322, 9.322 and 2.867 Å and the angles 90.00°, 90.00° and 90.00°. The asymmetric unit holds Li at (0.175, 0.325, 0.000), Cu at (0.000, 0.000, 0.000), B at (0.128, 0.628, 0.000), Rh at (0.000, 0.500, 0.500) and Rh at (0.072, 0.785, 0.500).

The calculation puts the formation energy at -0.3040 eV/atom. For the energy, the calculation gives -6.1076 eV per atom. The total magnetization is 0.00 μB per formula unit.

***

(8)
## TbGdPtAu (PBE)

Data for TbGdPtAu after structural relaxation.

The structure belongs to space group F-43m (No. 216); the cell edges are 7.140, 7.140 and 7.140 Å and the angles 90.00°, 90.00° and 90.00°. The asymmetric unit holds Tb at (0.000, 0.000, 0.000), Gd at (0.000, 0.000, 0.500), Pt at (0.250, 0.250, 0.250) and Au at (0.250, 0.250, 0.750).

The calculation puts the formation energy at -1.0040 eV/atom. For the energy, the calculation gives -8.0113 eV per atom. The total magnetization is 7.11 μB per formula unit.

***

(9)
## Ti4As3C (PBE)

Data for Ti4As3C after structural relaxation.

The structure belongs to space group Cmmm (No. 65); the cell edges are 7.291, 10.132 and 3.397 Å and the angles 90.00°, 90.00° and 90.00°. The asymmetric unit holds Ti at (0.000, 0.213, 0.000), Ti at (0.202, 0.000, 0.500), As at (0.000, 0.500, 0.000), As at (0.250, 0.250, 0.500) and C at (0.000, 0.000, 0.000).

The calculation puts the formation energy at -0.7563 eV/atom. For the energy, the calculation gives -7.6004 eV per atom. The total magnetization is 0.00 μB per formula unit.

***

(10)
## SnTeHI2 (PBE)

Data for SnTeHI2 after structural relaxation.

The structure belongs to space group P4/mmm (No. 123); the cell edges are 5.914, 5.914 and 3.935 Å and the angles 90.00°, 90.00° and 90.00°. The asymmetric unit holds Sn at (0.000, 0.000, 0.000), Te at (0.500, 0.500, 0.000), H at (0.500, 0.500, 0.500) and I at (0.000, 0.500, 0.500).

For the energy, the calculation gives -2.4292 eV per atom. The total magnetization is 0.51 μB per formula unit.

***

(11)
## Sm2Dy5Y4 (PBE)

Data for Sm2Dy5Y4 after structural relaxation.

The structure belongs to space group Immm (No. 71); the cell edges are 3.512, 9.052 and 23.300 Å and the angles 90.00°, 90.00° and 90.00°. The asymmetric unit holds Sm at (0.000, 0.000, 0.233), Dy at (0.000, 0.196, 0.356), Dy at (0.000, 0.500, 0.000), Y at (0.000, 0.000, 0.098) and Y at (0.000, 0.309, 0.500).

The calculation puts the formation energy at 0.2323 eV/atom. For the energy, the calculation gives -5.0682 eV per atom. The total magnetization is 0.00 μB per formula unit.

***

(12)
## Be2TlC (PBE)

Data for Be2TlC after structural relaxation.

The structure belongs to space group Fd-3m (No. 227, origin choice 2); the cell edges are 7.820, 7.820 and 7.820 Å and the angles 90.00°, 90.00° and 90.00°. The asymmetric unit holds Be at (0.000, 0.000, 0.000), Tl at (0.125, 0.125, 0.625) and C at (0.125, 0.125, 0.125).

The calculation puts the formation energy at 0.3805 eV/atom. For the energy, the calculation gives -4.3801 eV per atom. The total magnetization is 0.00 μB per formula unit.

***

What is the energy in the first record? -2.8310 eV per atom